Here is CaCePdRh after structural relaxation from the Alexandria database. Energies are from PBE.

## Properties
- uncorrected energy (Ry/atom) = -0.4202
- total magnetic moment (μB/cell) = 0.511

a = 4.9485 Å, b = 4.9485 Å, c = 4.9485 Å
α = 60.00°, β = 60.00°, γ = 60.00°
Positions (direct):
Ca: 0.7500 0.7500 0.7500
Rh: 0.5000 0.5000 0.5000
Ce: 0.2500 0.2500 0.2500
Pd: 0.0000 0.0000 0.0000

=====

Here is ZnNi3Ru after structural relaxation from the Alexandria database. Energies are from PBE.

## Properties
- relative energy among the computed polymorphs (kJ per mole of atoms) = 6.05
- total magnetic moment (μB/cell) = 0.000

a = 4.4678 Å, b = 4.4678 Å, c = 4.4678 Å
α = 90.00°, β = 90.00°, γ = 90.00°
Positions (direct):
Ru: 0.0000 0.0000 0.0000
Ni: 0.0000 0.5000 0.0000
Ni: 0.5000 0.0000 0.0000
Ni: 0.0000 0.0000 0.5000
Zn: 0.5000 0.5000 0.5000

=====

Here is GeTe2O2 after structural relaxation from the Alexandria database. Energies are from PBE.

## Properties
- relative energy among the computed polymorphs (kJ per mole of atoms) = 0.00
- energy relative to the elements, uncorrected (kJ/mol of formula units) = -3
- total magnetic moment (μB/cell) = 0.000

a = 8.1321 Å, b = 8.1321 Å, c = 2.9440 Å
α = 90.00°, β = 90.00°, γ = 90.00°
Positions (direct):
O: 0.3628 0.8628 0.0000
O: 0.1372 0.3628 0.0000
O: 0.8628 0.6372 0.0000
O: 0.6372 0.1372 0.0000
Ge: 0.5000 0.5000 0.0000
Ge: 0.0000 0.0000 0.0000
Te: 0.7311 0.7689 0.5000
Te: 0.2689 0.2311 0.5000
Te: 0.7689 0.2689 0.5000
Te: 0.2311 0.7311 0.5000

=====

Here is Ag2P after structural relaxation from the Alexandria database. Energies are from PBE.

## Properties
- relative energy among the computed polymorphs (kJ per mole of atoms) = 12.25
- total magnetic moment (μB/cell) = 0.000

a = 6.6209 Å, b = 6.6209 Å, c = 6.6209 Å
α = 155.06°, β = 155.06°, γ = 35.56°
Positions (direct):
Ag: 0.6630 0.6630 0.0000
Ag: 0.3370 0.3370 0.0000
P: 0.0000 0.0000 0.0000

=====

Here is MnAgW2 after structural relaxation from the Alexandria database. Energies are from PBE.

## Properties
- relative energy among the computed polymorphs (kJ per mole of atoms) = 7.61
- total magnetic moment (μB/cell) = 1.224

a = 2.6929 Å, b = 2.6929 Å, c = 8.8890 Å
α = 90.00°, β = 90.00°, γ = 107.68°
Positions (direct):
W: 0.0000 0.0000 0.9756
W: 0.0000 0.0000 0.5244
Ag: 0.5000 0.5000 0.2500
Mn: 0.5000 0.5000 0.7500

=====

Here is Nd6NiS5 after structural relaxation from the Alexandria database. Energies are from PBE.

## Properties
- energy relative to the elements, uncorrected (kJ/mol of formula units) = -2011
- total magnetic moment (μB/cell) = 0.000

a = 7.0608 Å, b = 7.0608 Å, c = 7.0630 Å
α = 99.65°, β = 99.65°, γ = 119.85°
Positions (direct):
Nd: 0.2470 0.2470 0.7517
Nd: 0.4103 0.0807 0.2458
Nd: 0.9193 0.5897 0.7542
Nd: 0.5897 0.9193 0.7542
Nd: 0.7530 0.7530 0.2483
Nd: 0.0807 0.4103 0.2458
Ni: 0.0000 0.0000 0.0000
S: 0.1706 0.8294 0.5000
S: 0.5000 0.5000 0.5000
S: 0.8294 0.1706 0.5000
S: 0.3343 0.6657 0.0000
S: 0.6657 0.3343 0.0000

=====

Here is Zr2PtCl after structural relaxation from the Alexandria database. Energies are from PBE.

## Properties
- relative energy among the computed polymorphs (kJ per mole of atoms) = 17.04
- energy relative to the elements, uncorrected (kJ/mol of formula units) = -273
- total magnetic moment (μB/cell) = 0.000

a = 9.8158 Å, b = 9.8158 Å, c = 9.8158 Å
α = 19.75°, β = 19.75°, γ = 19.75°
Positions (direct):
Pt: 0.7314 0.7314 0.7314
Cl: 0.5194 0.5194 0.5194
Zr: 0.2477 0.2477 0.2477
Zr: 0.0016 0.0016 0.0016

=====

Here is Li2GaIr after structural relaxation from the Alexandria database. Energies are from PBE.

## Properties
- uncorrected energy (Ry/atom) = -0.3190
- total magnetic moment (μB/cell) = 0.000

a = 4.2449 Å, b = 4.2449 Å, c = 4.2449 Å
α = 60.00°, β = 60.00°, γ = 60.00°
Positions (direct):
Ga: 0.7500 0.7500 0.7500
Ir: 0.0000 0.0000 0.0000
Li: 0.5000 0.5000 0.5000
Li: 0.2500 0.2500 0.2500

=====

Here is NbCo2Cu2 after structural relaxation from the Alexandria database. Energies are from PBE.

## Properties
- relative energy among the computed polymorphs (kJ per mole of atoms) = 2.12
- total magnetic moment (μB/cell) = 2.929

a = 6.8825 Å, b = 6.8825 Å, c = 2.6868 Å
α = 90.00°, β = 90.00°, γ = 90.00°
Positions (direct):
Cu: 0.6242 0.1242 0.0000
Cu: 0.1242 0.3758 0.0000
Cu: 0.8758 0.6242 0.0000
Cu: 0.3758 0.8758 0.0000
Co: 0.1725 0.6725 0.5000
Co: 0.6725 0.8275 0.5000
Co: 0.8275 0.3275 0.5000
Co: 0.3275 0.1725 0.5000
Nb: 0.0000 0.0000 0.0000
Nb: 0.5000 0.5000 0.0000

=====

Here is BeTlRh3 after structural relaxation from the Alexandria database. Energies are from PBE.

## Properties
- relative energy among the computed polymorphs (kJ per mole of atoms) = 0.00
- total magnetic moment (μB/cell) = 0.000

a = 4.2306 Å, b = 4.2306 Å, c = 4.2306 Å
α = 90.00°, β = 90.00°, γ = 90.00°
Positions (direct):
Tl: 0.5000 0.5000 0.5000
Rh: 0.5000 0.0000 0.0000
Rh: 0.0000 0.5000 0.0000
Rh: 0.0000 0.0000 0.5000
Be: 0.0000 0.0000 0.0000

=====

Here is CaMnAs3 after structural relaxation from the Alexandria database. Energies are from PBE.

## Properties
- relative energy among the computed polymorphs (kJ per mole of atoms) = 167.31
- total magnetic moment (μB/cell) = 0.534

a = 5.2319 Å, b = 5.2319 Å, c = 5.2319 Å
α = 90.00°, β = 90.00°, γ = 90.00°
Positions (direct):
Ca: 0.0000 0.0000 0.0000
As: 0.0000 0.5000 0.0000
As: 0.0000 0.0000 0.5000
As: 0.5000 0.0000 0.0000
Mn: 0.5000 0.5000 0.5000

=====

Here is TbTh6C5 after structural relaxation from the Alexandria database. Energies are from PBE.

## Properties
- uncorrected energy (Ry/atom) = -0.5788
- total magnetic moment (μB/cell) = 0.000

a = 6.8353 Å, b = 6.8353 Å, c = 12.9649 Å
α = 90.00°, β = 90.00°, γ = 120.00°
Positions (direct):
Tb: 0.0000 0.0000 0.7500
Tb: 0.0000 0.0000 0.2500
Th: 0.6104 0.0000 0.1173
Th: 0.0000 0.3896 0.6173
Th: 0.3896 0.3896 0.1173
Th: 0.0000 0.6104 0.1173
Th: 0.6104 0.6104 0.6173
Th: 0.6104 0.0000 0.3827
Th: 0.0000 0.3896 0.8827
Th: 0.3896 0.0000 0.8827
Th: 0.6104 0.6104 0.8827
Th: 0.0000 0.6104 0.3827
Th: 0.3896 0.3896 0.3827
Th: 0.3896 0.0000 0.6173
C: 0.3333 0.6667 0.0000
C: 0.0000 0.3489 0.2500
C: 0.3489 0.0000 0.2500
C: 0.6511 0.6511 0.2500
C: 0.6667 0.3333 0.5000
C: 0.6667 0.3333 0.0000
C: 0.6511 0.0000 0.7500
C: 0.0000 0.6511 0.7500
C: 0.3333 0.6667 0.5000
C: 0.3489 0.3489 0.7500